## SmZrCoNi (GGA-PBE)

Data for a geometry-optimized SmZrCoNi structure.

Summary:
M_tot   0.4 μB/cell
Formation energy from the elements   -0.147 eV/atom
Density   8.18 g/cm3
Space-group type   F-43m (216)

Lattice parameters (Å, degrees): 4.690 4.690 4.690 60.00 60.00 60.00
Last column: magnetic moment on the atom in μB.
Element x y z (fractional)
Co1 0.750 0.750 0.750  0.66
Ni1 0.250 0.250 0.250  -0.02
Sm1 0.000 0.000 0.000  -0.04
Zr1 0.500 0.500 0.500  -0.10